Entry from Alexandria: a relaxed structure of GaAg5Au5 (PBE).

Unit cell a=4.981 b=8.429 c=5.771 alpha=110.08 beta=90.00 gamma=107.19
Atoms (fractional coordinates):
Ag 0.663 0.326 0.663
Ag 0.317 0.634 0.818
Ag 0.000 0.000 0.500
Ag 0.683 0.366 0.182
Ag 0.337 0.674 0.337
Ga 0.000 0.000 0.000
Au 0.843 0.686 0.088
Au 0.157 0.314 0.912
Au 0.843 0.686 0.598
Au 0.500 0.000 0.000
Au 0.157 0.314 0.402

Calculated values
V = 19.636 Å³ per atom
total DFT energy (no corrections) = -3.023 eV per atom
magnetic moment = 0.000 Bohr magnetons per cell
calculated formation energy = 0.038 eV per atom